A plane-wave DFT calculation with PBE+U was carried out for a relaxed KCoSO crystal. Values from VASP.

Summary:
As for the total moment: 0.50 μB/atom. As for the space group: Pc (7). As for the final energy: -4.487 eV/atom.

The structure in Quantum ESPRESSO input format:
```
&SYSTEM
  ibrav = 0, nat = 16, ntyp = 4
/
ATOMIC_SPECIES
K 39.10 K.upf
Co 58.93 Co.upf
S 32.06 S.upf
O 16.00 O.upf
ATOMIC_POSITIONS crystal
K 0.000 0.069 0.000
K 0.000 0.931 0.500
K 0.525 0.422 0.004
K 0.525 0.578 0.504
Co 0.010 0.292 0.381
Co 0.010 0.708 0.881
Co 0.529 0.225 0.606
Co 0.529 0.775 0.106
S 0.024 0.331 0.688
S 0.024 0.669 0.188
S 0.505 0.162 0.313
S 0.505 0.838 0.813
O 0.036 0.478 0.242
O 0.036 0.522 0.742
O 0.483 0.022 0.766
O 0.483 0.978 0.266
CELL_PARAMETERS angstrom
3.985 0.000 0.000
0.000 8.925 0.000
-0.217 0.000 7.488
```